Compound: SmMoPt
Source: OQMD
Functional: PBE
Structure: relaxed

Cell lengths 4.651, 4.651, 4.651 Å; angles 60.00, 60.00, 60.00 degrees
Fractional coordinates of all 3 atoms:
Sm1 0.000 0.000 0.000
Mo1 0.750 0.750 0.750
Pt1 0.250 0.250 0.250

## Properties
Its crystal system is cubic. The total moment comes out at 1.0240 μB per atom. The value obtained for the energy above the most stable polymorph in this dataset is 553.4 meV/atom. The energy of formation from the pure elements is 0.79 eV per atom. Its space group is F-43m.